No. 1
DFT (PBE) results for an optimized crystal structure of LiCdIn3.

abc: 5.096 5.096 5.096
angles: 90.00 90.00 90.00
Fractional positions:
Li (0.000, 0.000, 0.000)
Cd (0.500, 0.500, 0.500)
In (0.000, 0.000, 0.500)
In (0.000, 0.500, 0.000)
In (0.500, 0.000, 0.000)

Results
Distance to the lowest polymorph of the same formula: 1.10 eV per formula unit
Uncorrected energy: -2.054 eV per atom


No. 2
DFT (PBE) results for an optimized crystal structure of Tl3PbCl5.

abc: 8.602 8.602 15.042
angles: 90.00 90.00 90.00
Fractional positions:
Tl (0.009, 0.190, 0.000)
Tl (0.115, 0.320, 0.574)
Tl (0.174, 0.369, 0.267)
Tl (0.190, 0.991, 0.750)
Tl (0.320, 0.885, 0.324)
Tl (0.369, 0.826, 0.017)
Tl (0.631, 0.174, 0.517)
Tl (0.680, 0.115, 0.824)
Tl (0.810, 0.009, 0.250)
Tl (0.826, 0.631, 0.767)
Tl (0.885, 0.680, 0.074)
Tl (0.991, 0.810, 0.500)
Pb (0.305, 0.492, 0.838)
Pb (0.492, 0.695, 0.588)
Pb (0.508, 0.305, 0.088)
Pb (0.695, 0.508, 0.338)
Cl (0.024, 0.329, 0.796)
Cl (0.040, 0.811, 0.900)
Cl (0.180, 0.645, 0.670)
Cl (0.189, 0.040, 0.150)
Cl (0.202, 0.490, 0.049)
Cl (0.329, 0.976, 0.546)
Cl (0.355, 0.180, 0.920)
Cl (0.364, 0.515, 0.454)
Cl (0.485, 0.364, 0.704)
Cl (0.490, 0.798, 0.799)
Cl (0.510, 0.202, 0.299)
Cl (0.515, 0.636, 0.204)
Cl (0.636, 0.485, 0.954)
Cl (0.645, 0.820, 0.420)
Cl (0.671, 0.024, 0.046)
Cl (0.798, 0.510, 0.549)
Cl (0.811, 0.960, 0.650)
Cl (0.820, 0.355, 0.170)
Cl (0.960, 0.189, 0.400)
Cl (0.976, 0.671, 0.296)

Results
Distance to the lowest polymorph of the same formula: 0.06 eV per formula unit
Uncorrected energy: -3.285 eV per atom
Raw formation energy: -1059 meV per atom


No. 3
DFT (PBE) results for an optimized crystal structure of KSr4.

abc: 17.882 17.703 4.173
angles: 85.71 80.83 13.46
Fractional positions:
K (0.000, 0.000, 0.000)
Sr (0.202, 0.202, 0.798)
Sr (0.394, 0.394, 0.606)
Sr (0.606, 0.606, 0.394)
Sr (0.798, 0.798, 0.202)

Results
Distance to the lowest polymorph of the same formula: 0.00 eV per formula unit
Uncorrected energy: -1.521 eV per atom


No. 4
DFT (PBE) results for an optimized crystal structure of EuPuTlCd.

abc: 5.508 5.508 5.508
angles: 60.00 60.00 60.00
Fractional positions:
Eu (0.000, 0.000, 0.000)
Pu (0.500, 0.500, 0.500)
Tl (0.250, 0.250, 0.250)
Cd (0.750, 0.750, 0.750)

Results
Uncorrected energy: -7.107 eV per atom


No. 5
DFT (PBE) results for an optimized crystal structure of Na3HoTe3S8.

abc: 8.276 8.276 8.072
angles: 119.18 119.18 55.68
Fractional positions:
Na (0.000, 0.000, 0.000)
Na (0.000, 0.500, 0.500)
Na (0.500, 0.000, 0.500)
Ho (0.000, 0.000, 0.500)
Te (0.000, 0.500, 0.000)
Te (0.500, 0.000, 0.000)
Te (0.500, 0.500, 0.500)
S (0.225, 0.225, 0.198)
S (0.231, 0.231, 0.744)
S (0.235, 0.720, 0.248)
S (0.280, 0.765, 0.752)
S (0.720, 0.235, 0.248)
S (0.765, 0.280, 0.752)
S (0.769, 0.769, 0.256)
S (0.775, 0.775, 0.802)

Results
Uncorrected energy: -4.029 eV per atom
Raw formation energy: -631 meV per atom


No. 6
DFT (PBE) results for an optimized crystal structure of TbScCdAg.

abc: 5.096 5.096 5.096
angles: 60.00 60.00 60.00
Fractional positions:
Tb (0.000, 0.000, 0.000)
Sc (0.500, 0.500, 0.500)
Cd (0.250, 0.250, 0.250)
Ag (0.750, 0.750, 0.750)

Results
Distance to the lowest polymorph of the same formula: 0.06 eV per formula unit
Uncorrected energy: -3.951 eV per atom